This record from Alexandria via LeMat-Bulk describes ZrTaAs2Os after structural relaxation. The functional is PBE.

The structure in POSCAR format:
```
ZrTaAs2Os
1.0
4.689 0.000 0.000
0.000 4.689 0.000
0.000 0.000 5.128
Zr Ta As Os
1 1 2 1
direct
0.000 0.000 0.000
0.500 0.500 0.000
0.000 0.500 0.500
0.500 0.000 0.500
0.000 0.000 0.500
```

Values from the calculation:
ΔH_f (0 K): 5.1 eV/f.u.
Space group: P4/mmm